Entry from Alexandria via LeMat-Bulk: crystalline RbTiVO4 at its relaxed geometry (PBE+U).

The structure in POSCAR format:
```
RbTiVO4
1.0
-2.8406 -3.0298 -3.5369
4.3098 -3.5890 -0.3868
-0.5736 -1.5746 8.2173
Ti O Rb V
2 8 2 2
Cartesian
-1.4909 -4.2640 2.5246
2.3865 -3.9295 1.7689
-0.4718 -2.9667 1.8420
-0.7543 -5.3440 -0.8474
-0.3812 -1.1580 5.3232
1.6499 -2.8494 5.1409
1.3674 -5.2268 2.4515
1.9370 -4.2815 0.0269
-1.0414 -3.9119 4.2666
1.2768 -7.0354 -1.0297
-0.2636 -2.4279 -0.8365
1.1592 -5.7655 5.1300
0.2211 -2.3312 3.6656
0.6745 -5.8622 0.6279
```

Results
**Calculated total energy**: -7.470 eV/atom
**Crystal system**: monoclinic
**Spin magnetization**: 4.0 μB per cell